(1)
Sm2DyIr9 (GGA-PBE, relaxed); N(E_F) = 0.9571 states/eV per atom; total magnetic moment = 0.000 μB per atom; space-group type = No. 166; energy of formation from the pure elements = -547 meV per atom
1.0
-4.392 2.468 -1.744
-3.834 -2.788 -2.439
-6.652 -1.553 6.406
Sm Dy Ir
2 1 9
Direct
0.861 0.861 0.418
0.139 0.139 0.582
0.000 0.000 0.000
0.668 0.668 0.997
0.332 0.332 0.003
0.500 0.500 0.500
0.420 0.420 0.243
0.917 0.420 0.243
0.420 0.917 0.243
0.580 0.580 0.757
0.580 0.083 0.757
0.083 0.580 0.757


(2)
SmDy5Ir6 (GGA-PBE, relaxed); N(E_F) = 0.3701 states/eV per atom; total magnetic moment = 0.000 μB per atom; space-group type = No. 10; energy of formation from the pure elements = -780 meV per atom
1.0
-4.227 1.134 2.306
-2.925 -5.305 -2.755
-0.032 -3.583 6.935
Ir Sm Dy
6 1 5
Direct
0.832 0.748 0.337
0.832 0.252 0.337
0.500 0.254 0.000
0.500 0.746 0.000
0.168 0.748 0.663
0.168 0.252 0.663
0.000 0.000 0.000
0.667 0.500 0.667
0.333 0.000 0.334
0.000 0.500 0.000
0.667 0.000 0.666
0.333 0.500 0.333


(3)
Sm2DyIr (GGA-PBE, relaxed); N(E_F) = 1.1186 states/eV per atom; energy above the most stable polymorph in this dataset = 0.00 kcal/mol of atoms; total magnetic moment = 0.000 μB per atom; space-group type = No. 62; energy of formation from the pure elements = -516 meV per atom
1.0
6.403 0.000 0.000
0.000 7.280 0.000
0.000 0.000 9.661
Sm Dy Ir
8 4 4
Direct
0.174 0.678 0.064
0.326 0.178 0.436
0.826 0.322 0.564
0.674 0.822 0.936
0.826 0.322 0.936
0.674 0.822 0.564
0.174 0.678 0.436
0.326 0.178 0.064
0.642 0.536 0.250
0.858 0.036 0.250
0.358 0.464 0.750
0.142 0.964 0.750
0.048 0.381 0.250
0.452 0.881 0.250
0.952 0.619 0.750
0.548 0.119 0.750